This record from Alexandria describes MgTe2Os at its PBEsol-relaxed geometry. The functional is meta-GGA SCAN.

a b c (Å): 6.851 6.851 6.851
angles (deg): 34.29 34.29 34.29
Fractional positions:
Mg 0.000 0.000 0.000
Te 0.235 0.235 0.235
Te 0.765 0.765 0.765
Os 0.500 0.500 0.500

Results
DFT total energy = -37.838 eV/atom
ΔE_f (raw) = 0.13 kJ per mole of atoms


This record from Alexandria describes LiTaAs2 at its PBEsol-relaxed geometry. The functional is meta-GGA SCAN.

a b c (Å): 4.448 4.448 4.448
angles (deg): 116.92 116.92 95.42
Fractional positions:
Li 0.000 0.000 0.000
Ta 0.500 0.500 0.000
As 0.250 0.750 0.500
As 0.750 0.250 0.500

Results
DFT total energy = -27.483 eV/atom
energy above the most stable polymorph in this dataset = 326 meV per atom


This record from Alexandria describes CaCrTc2 at its PBEsol-relaxed geometry. The functional is meta-GGA SCAN.

a b c (Å): 2.716 2.716 9.022
angles (deg): 90.00 90.00 109.94
Fractional positions:
Ca 0.000 0.000 0.000
Cr 0.500 0.500 0.283
Tc 0.000 0.000 0.484
Tc 0.500 0.500 0.717

Results
DFT total energy = -23.888 eV/atom
energy above the most stable polymorph in this dataset = 0 meV per atom


This record from Alexandria describes Zr2SbPb at its PBEsol-relaxed geometry. The functional is meta-GGA SCAN.

a b c (Å): 5.304 5.304 5.304
angles (deg): 133.34 120.53 78.80
Fractional positions:
Zr 0.241 0.241 0.000
Zr 0.759 0.759 0.000
Sb 0.000 0.500 0.500
Pb 0.500 0.000 0.500

Results
DFT total energy = -44.073 eV/atom
ΔE_f (raw) = -44.64 kJ per mole of atoms
energy above the most stable polymorph in this dataset = 0 meV per atom


This record from Alexandria describes TlAs2Rh2 at its PBEsol-relaxed geometry. The functional is meta-GGA SCAN.

a b c (Å): 7.052 7.052 7.052
angles (deg): 147.46 147.46 46.69
Fractional positions:
Tl 0.000 0.000 0.000
As 0.358 0.358 0.000
As 0.642 0.642 0.000
Rh 0.250 0.750 0.500
Rh 0.750 0.250 0.500

Results
DFT total energy = -36.523 eV/atom


This record from Alexandria describes Mg4AsAu at its PBEsol-relaxed geometry. The functional is meta-GGA SCAN.

a b c (Å): 5.559 5.559 5.559
angles (deg): 60.00 60.00 60.00
Fractional positions:
Mg 0.125 0.125 0.125
Mg 0.125 0.125 0.624
Mg 0.125 0.624 0.125
Mg 0.624 0.125 0.125
As 0.500 0.500 0.500
Au 0.750 0.750 0.750

Results
DFT total energy = -18.141 eV/atom


This record from Alexandria describes Zr5NiSb3 at its PBEsol-relaxed geometry. The functional is meta-GGA SCAN.

a b c (Å): 8.529 8.529 5.732
angles (deg): 90.00 90.00 120.00
Fractional positions:
Zr 0.000 0.257 0.250
Zr 0.000 0.743 0.750
Zr 0.257 0.000 0.250
Zr 0.257 0.257 0.750
Zr 0.333 0.667 0.000
Zr 0.333 0.667 0.500
Zr 0.667 0.333 0.000
Zr 0.667 0.333 0.500
Zr 0.743 0.000 0.750
Zr 0.743 0.743 0.250
Ni 0.000 0.000 0.000
Ni 0.000 0.000 0.500
Sb 0.000 0.388 0.750
Sb 0.000 0.612 0.250
Sb 0.388 0.000 0.750
Sb 0.388 0.388 0.250
Sb 0.612 0.000 0.250
Sb 0.612 0.612 0.750

Results
DFT total energy = -32.092 eV/atom
ΔE_f (raw) = -79.10 kJ per mole of atoms


This record from Alexandria describes La2Co3 at its PBEsol-relaxed geometry. The functional is meta-GGA SCAN.

a b c (Å): 4.048 4.048 7.599
angles (deg): 90.00 90.00 120.00
Fractional positions:
La 0.333 0.667 0.228
La 0.667 0.333 0.772
Co 0.000 0.000 0.500
Co 0.333 0.667 0.556
Co 0.667 0.333 0.444

Results
DFT total energy = -27.569 eV/atom


This record from Alexandria describes SrSbTe3 at its PBEsol-relaxed geometry. The functional is meta-GGA SCAN.

a b c (Å): 5.693 5.693 5.693
angles (deg): 90.00 90.00 90.00
Fractional positions:
Sr 0.000 0.000 0.000
Sb 0.500 0.500 0.500
Te 0.000 0.500 0.500
Te 0.500 0.000 0.500
Te 0.500 0.500 0.000

Results
DFT total energy = -34.701 eV/atom
ΔE_f (raw) = -42.75 kJ per mole of atoms


This record from Alexandria describes LiAgF4 at its PBEsol-relaxed geometry. The functional is meta-GGA SCAN.

a b c (Å): 5.908 8.361 7.827
angles (deg): 90.00 121.04 90.00
Fractional positions:
Li 0.153 0.013 0.332
Li 0.153 0.487 0.832
Li 0.847 0.513 0.168
Li 0.847 0.987 0.668
Ag 0.494 0.670 0.384
Ag 0.494 0.830 0.884
Ag 0.506 0.170 0.116
Ag 0.506 0.330 0.616
F 0.211 0.189 0.498
F 0.211 0.311 0.998
F 0.214 0.515 0.280
F 0.214 0.985 0.780
F 0.302 0.688 0.956
F 0.302 0.812 0.456
F 0.309 0.021 0.178
F 0.309 0.479 0.678
F 0.691 0.521 0.322
F 0.691 0.979 0.822
F 0.698 0.188 0.544
F 0.698 0.312 0.044
F 0.786 0.015 0.220
F 0.786 0.485 0.720
F 0.789 0.689 0.002
F 0.789 0.811 0.502

Results
DFT total energy = -9.786 eV/atom
ΔE_f (raw) = -173.66 kJ per mole of atoms
energy above the most stable polymorph in this dataset = 53 meV per atom


This record from Alexandria describes Cs2TeAuN at its PBEsol-relaxed geometry. The functional is meta-GGA SCAN.

a b c (Å): 7.236 7.236 5.212
angles (deg): 90.00 90.00 90.00
Fractional positions:
Cs 0.000 0.500 0.000
Cs 0.500 0.000 0.000
Te 0.000 0.000 0.000
Au 0.000 0.000 0.500
N 0.500 0.500 0.500

Results
DFT total energy = -37.946 eV/atom
ΔE_f (raw) = 30.68 kJ per mole of atoms


This record from Alexandria describes B3HI at its PBEsol-relaxed geometry. The functional is meta-GGA SCAN.

a b c (Å): 3.736 3.736 3.736
angles (deg): 90.00 90.00 90.00
Fractional positions:
B 0.000 0.000 0.500
B 0.000 0.500 0.000
B 0.500 0.000 0.000
H 0.000 0.000 0.000
I 0.500 0.500 0.500

Results
DFT total energy = -10.060 eV/atom


Number 1: DOS(E_F) 0.422 states/eV per atom, total moment 0.00 μB/f.u.. Number 2: DOS(E_F) 0.521 states/eV per atom, total moment 0.97 μB/f.u.. Number 3: DOS(E_F) 0.979 states/eV per atom, total moment 0.00 μB/f.u.. Number 4: DOS(E_F) 0.432 states/eV per atom, total moment 0.00 μB/f.u.. Number 5: DOS(E_F) 0.239 states/eV per atom, total moment 0.00 μB/f.u.. Number 6: DOS(E_F) 0.345 states/eV per atom, total moment 0.00 μB/f.u.. Number 7: DOS(E_F) 0.699 states/eV per atom, total moment 0.00 μB/f.u.. Number 8: DOS(E_F) 1.167 states/eV per atom, total moment 3.98 μB/f.u.. Number 9: DOS(E_F) 0.592 states/eV per atom, total moment 0.00 μB/f.u.. Number 10: DOS(E_F) 0.000 states/eV per atom, total moment 0.00 μB/f.u.. Number 11: DOS(E_F) 0.385 states/eV per atom, total moment 2.40 μB/f.u.. Number 12: DOS(E_F) 0.375 states/eV per atom, total moment 0.00 μB/f.u..